Arrangement A

Material: Th2SiBi
Method: DFT, GGA-PBE
State: relaxed

Calculated values
As for the total magnetic moment: 0.000 μB per cell. As for the space group: R-3m (166). Its crystal system is trigonal.

POSCAR file:
```
Th2SiBi
1.0
4.368 0.000 0.000
-2.184 3.783 0.000
0.000 0.000 22.337
Th Si Bi
6 3 3
direct
0.000 0.000 0.239 Th
0.000 0.000 0.761 Th
0.333 0.667 0.427 Th
0.333 0.667 0.906 Th
0.667 0.333 0.094 Th
0.667 0.333 0.573 Th
0.000 0.000 0.500 Si
0.333 0.667 0.167 Si
0.667 0.333 0.833 Si
0.000 0.000 0.000 Bi
0.333 0.667 0.667 Bi
0.667 0.333 0.333 Bi
```

=====

Arrangement B

Material: Th2SiBi
Method: DFT, GGA-PBE
State: relaxed

Calculated values
As for the total magnetic moment: 0.000 μB per cell. As for the space group: P-3m1 (164). Its crystal system is trigonal.

POSCAR file:
```
Th2SiBi
1.0
4.317 0.000 0.000
-2.158 3.739 0.000
0.000 0.000 7.579
Th Si Bi
2 1 1
direct
0.333 0.667 0.216 Th
0.667 0.333 0.784 Th
0.000 0.000 0.000 Si
0.000 0.000 0.500 Bi
```

=====

Short version: arrangement A is the most stable of them.

=====

Arrangement A

Material: TiSi3Bi
Method: DFT, GGA-PBE
State: relaxed

Calculated values
As for the total magnetic moment: 2.169 μB per cell. As for the space group: Pm-3m (221). Its crystal system is cubic.

POSCAR file:
```
TiSi3Bi
1.0
5.279 0.000 0.000
0.000 5.279 0.000
0.000 0.000 5.279
Ti Si Bi
1 3 1
direct
0.000 0.000 0.000 Ti
0.000 0.500 0.500 Si
0.500 0.000 0.500 Si
0.500 0.500 0.000 Si
0.500 0.500 0.500 Bi
```

=====

Arrangement B

Material: TiSi3Bi
Method: DFT, GGA-PBE
State: relaxed

Calculated values
As for the total magnetic moment: 0.000 μB per cell. As for the space group: Pm-3m (221). Its crystal system is cubic.

POSCAR file:
```
TiSi3Bi
1.0
4.851 0.000 0.000
0.000 4.851 0.000
0.000 0.000 4.851
Ti Si Bi
1 3 1
direct
0.000 0.000 0.000 Ti
0.000 0.000 0.500 Si
0.000 0.500 0.000 Si
0.500 0.000 0.000 Si
0.500 0.500 0.500 Bi
```

=====

Short version: arrangement B is the most stable of them.

=====

Arrangement A

Material: Ti2SiBi2
Method: DFT, GGA-PBE
State: relaxed

Calculated values
As for the total magnetic moment: 0.000 μB per cell. As for the space group: I4/mmm (139). Its crystal system is tetragonal.

POSCAR file:
```
Ti2SiBi2
1.0
3.960 0.000 0.000
0.000 3.960 0.000
0.000 0.000 15.252
Ti Si Bi
4 2 4
direct
0.000 0.500 0.250 Ti
0.000 0.500 0.750 Ti
0.500 0.000 0.250 Ti
0.500 0.000 0.750 Ti
0.000 0.000 0.000 Si
0.500 0.500 0.500 Si
0.000 0.000 0.394 Bi
0.000 0.000 0.606 Bi
0.500 0.500 0.106 Bi
0.500 0.500 0.894 Bi
```

=====

Arrangement B

Material: Ti2SiBi2
Method: DFT, GGA-PBE
State: relaxed

Calculated values
As for the total magnetic moment: 0.000 μB per cell. As for the space group: P4/mbm (127). Its crystal system is tetragonal.

POSCAR file:
```
Ti2SiBi2
1.0
6.975 0.000 0.000
0.000 6.975 0.000
0.000 0.000 4.393
Ti Si Bi
4 2 4
direct
0.149 0.351 0.000 Ti
0.351 0.851 0.000 Ti
0.649 0.149 0.000 Ti
0.851 0.649 0.000 Ti
0.000 0.000 0.000 Si
0.500 0.500 0.000 Si
0.165 0.665 0.500 Bi
0.335 0.165 0.500 Bi
0.665 0.835 0.500 Bi
0.835 0.335 0.500 Bi
```

=====

Short version: arrangement B is the most stable of them.

=====

Arrangement A

Material: Ti2Si2Bi
Method: DFT, GGA-PBE
State: relaxed

Calculated values
As for the total magnetic moment: 0.000 μB per cell. As for the space group: P4/mbm (127). Its crystal system is tetragonal.

POSCAR file:
```
Ti2Si2Bi
1.0
7.189 0.000 0.000
0.000 7.189 0.000
0.000 0.000 3.473
Ti Si Bi
4 4 2
direct
0.168 0.332 0.000 Ti
0.332 0.832 0.000 Ti
0.668 0.168 0.000 Ti
0.832 0.668 0.000 Ti
0.117 0.617 0.500 Si
0.383 0.117 0.500 Si
0.617 0.883 0.500 Si
0.883 0.383 0.500 Si
0.000 0.000 0.500 Bi
0.500 0.500 0.500 Bi
```

=====

Arrangement B

Material: Ti2Si2Bi
Method: DFT, GGA-PBE
State: relaxed

Calculated values
As for the total magnetic moment: 0.000 μB per cell. As for the space group: I4/mmm (139). Its crystal system is tetragonal.

POSCAR file:
```
Ti2Si2Bi
1.0
3.574 0.000 0.000
0.000 3.574 0.000
0.000 0.000 14.093
Ti Si Bi
4 4 2
direct
0.000 0.000 0.112 Ti
0.000 0.000 0.888 Ti
0.500 0.500 0.388 Ti
0.500 0.500 0.612 Ti
0.000 0.500 0.250 Si
0.000 0.500 0.750 Si
0.500 0.000 0.250 Si
0.500 0.000 0.750 Si
0.000 0.000 0.500 Bi
0.500 0.500 0.000 Bi
```

=====

Short version: arrangement B is the most stable of them.

=====

Arrangement A

Material: TlSi2Bi2
Method: DFT, GGA-PBE
State: relaxed

Calculated values
As for the total magnetic moment: 0.000 μB per cell. As for the space group: I4/mmm (139). Its crystal system is tetragonal.

POSCAR file:
```
TlSi2Bi2
1.0
5.475 0.000 0.000
0.000 5.475 0.000
0.000 0.000 9.118
Tl Si Bi
2 4 4
direct
0.000 0.000 0.000 Tl
0.500 0.500 0.500 Tl
0.000 0.000 0.367 Si
0.000 0.000 0.633 Si
0.500 0.500 0.133 Si
0.500 0.500 0.867 Si
0.000 0.500 0.250 Bi
0.000 0.500 0.750 Bi
0.500 0.000 0.250 Bi
0.500 0.000 0.750 Bi
```

=====

Arrangement B

Material: TlSi2Bi2
Method: DFT, GGA-PBE
State: relaxed

Calculated values
As for the total magnetic moment: 0.000 μB per cell. As for the space group: I4/mmm (139). Its crystal system is tetragonal.

POSCAR file:
```
TlSi2Bi2
1.0
4.467 0.000 0.000
0.000 4.467 0.000
0.000 0.000 14.746
Tl Si Bi
2 4 4
direct
0.000 0.000 0.000 Tl
0.500 0.500 0.500 Tl
0.000 0.500 0.250 Si
0.000 0.500 0.750 Si
0.500 0.000 0.250 Si
0.500 0.000 0.750 Si
0.000 0.000 0.374 Bi
0.000 0.000 0.626 Bi
0.500 0.500 0.126 Bi
0.500 0.500 0.874 Bi
```

=====

Arrangement C

Material: TlSi2Bi2
Method: DFT, GGA-PBE
State: relaxed

Calculated values
As for the total magnetic moment: 0.000 μB per cell. As for the space group: P4/mbm (127). Its crystal system is tetragonal.

POSCAR file:
```
TlSi2Bi2
1.0
8.285 0.000 0.000
0.000 8.285 0.000
0.000 0.000 3.831
Tl Si Bi
2 4 4
direct
0.000 0.000 0.000 Tl
0.500 0.500 0.000 Tl
0.106 0.394 0.000 Si
0.394 0.894 0.000 Si
0.606 0.106 0.000 Si
0.894 0.606 0.000 Si
0.171 0.671 0.500 Bi
0.329 0.171 0.500 Bi
0.671 0.829 0.500 Bi
0.829 0.329 0.500 Bi
```

=====

Short version: arrangement A is the most stable of them.

=====

Arrangement A

Material: VSiBi2
Method: DFT, GGA-PBE
State: relaxed

Calculated values
As for the total magnetic moment: 12.003 μB per cell. As for the space group: I-42d (122). Its crystal system is tetragonal.

POSCAR file:
```
VSiBi2
1.0
6.566 0.000 0.000
0.000 6.566 0.000
0.000 0.000 11.976
V Si Bi
4 4 8
direct
0.000 0.000 0.000 V
0.000 0.500 0.250 V
0.500 0.000 0.750 V
0.500 0.500 0.500 V
0.000 0.000 0.500 Si
0.000 0.500 0.750 Si
0.500 0.000 0.250 Si
0.500 0.500 0.000 Si
0.240 0.250 0.625 Bi
0.250 0.740 0.875 Bi
0.250 0.760 0.375 Bi
0.260 0.250 0.125 Bi
0.740 0.750 0.125 Bi
0.750 0.240 0.375 Bi
0.750 0.260 0.875 Bi
0.760 0.750 0.625 Bi
```

=====

Arrangement B

Material: VSiBi2
Method: DFT, GGA-PBE
State: relaxed

Calculated values
As for the total magnetic moment: 12.093 μB per cell. As for the space group: Fm-3m (225). Its crystal system is cubic.

POSCAR file:
```
VSiBi2
1.0
7.222 0.000 0.000
0.000 7.222 0.000
0.000 0.000 7.222
V Si Bi
4 4 8
direct
0.000 0.000 0.000 V
0.000 0.500 0.500 V
0.500 0.000 0.500 V
0.500 0.500 0.000 V
0.000 0.000 0.500 Si
0.000 0.500 0.000 Si
0.500 0.000 0.000 Si
0.500 0.500 0.500 Si
0.250 0.250 0.250 Bi
0.250 0.250 0.750 Bi
0.250 0.750 0.250 Bi
0.250 0.750 0.750 Bi
0.750 0.250 0.250 Bi
0.750 0.250 0.750 Bi
0.750 0.750 0.250 Bi
0.750 0.750 0.750 Bi
```

=====

Short version: arrangement B is the most stable of them.

=====

Arrangement A

Material: VSi2Bi
Method: DFT, GGA-PBE
State: relaxed

Calculated values
As for the total magnetic moment: 11.428 μB per cell. As for the space group: Fm-3m (225). Its crystal system is cubic.

POSCAR file:
```
VSi2Bi
1.0
6.769 0.000 0.000
0.000 6.769 0.000
0.000 0.000 6.769
V Si Bi
4 8 4
direct
0.000 0.000 0.000 V
0.000 0.500 0.500 V
0.500 0.000 0.500 V
0.500 0.500 0.000 V
0.250 0.250 0.250 Si
0.250 0.250 0.750 Si
0.250 0.750 0.250 Si
0.250 0.750 0.750 Si
0.750 0.250 0.250 Si
0.750 0.250 0.750 Si
0.750 0.750 0.250 Si
0.750 0.750 0.750 Si
0.000 0.000 0.500 Bi
0.000 0.500 0.000 Bi
0.500 0.000 0.000 Bi
0.500 0.500 0.500 Bi
```

=====

Arrangement B

Material: VSi2Bi
Method: DFT, GGA-PBE
State: relaxed

Calculated values
As for the total magnetic moment: 6.384 μB per cell. As for the space group: I-42d (122). Its crystal system is tetragonal.

POSCAR file:
```
VSi2Bi
1.0
4.510 0.000 0.000
0.000 4.510 0.000
0.000 0.000 16.980
V Si Bi
4 8 4
direct
0.000 0.000 0.000 V
0.000 0.500 0.250 V
0.500 0.000 0.750 V
0.500 0.500 0.500 V
0.108 0.250 0.125 Si
0.250 0.608 0.375 Si
0.250 0.892 0.875 Si
0.392 0.250 0.625 Si
0.608 0.750 0.625 Si
0.750 0.108 0.875 Si
0.750 0.392 0.375 Si
0.892 0.750 0.125 Si
0.000 0.000 0.500 Bi
0.000 0.500 0.750 Bi
0.500 0.000 0.250 Bi
0.500 0.500 0.000 Bi
```

=====

Short version: arrangement B is the most stable of them.

=====

Arrangement A

Material: YSi2Bi2
Method: DFT, GGA-PBE
State: relaxed

Calculated values
As for the total magnetic moment: 0.000 μB per cell. As for the space group: P4/mbm (127). Its crystal system is tetragonal.

POSCAR file:
```
YSi2Bi2
1.0
7.518 0.000 0.000
0.000 7.518 0.000
0.000 0.000 4.360
Y Si Bi
2 4 4
direct
0.000 0.000 0.000 Y
0.500 0.500 0.000 Y
0.115 0.385 0.000 Si
0.385 0.885 0.000 Si
0.615 0.115 0.000 Si
0.885 0.615 0.000 Si
0.187 0.687 0.500 Bi
0.313 0.187 0.500 Bi
0.687 0.813 0.500 Bi
0.813 0.313 0.500 Bi
```

=====

Arrangement B

Material: YSi2Bi2
Method: DFT, GGA-PBE
State: relaxed

Calculated values
As for the total magnetic moment: 0.000 μB per cell. As for the space group: P4/mbm (127). Its crystal system is tetragonal.

POSCAR file:
```
YSi2Bi2
1.0
8.175 0.000 0.000
0.000 8.175 0.000
0.000 0.000 3.910
Y Si Bi
2 4 4
direct
0.000 0.000 0.000 Y
0.500 0.500 0.000 Y
0.183 0.317 0.500 Si
0.317 0.817 0.500 Si
0.683 0.183 0.500 Si
0.817 0.683 0.500 Si
0.139 0.639 0.000 Bi
0.361 0.139 0.000 Bi
0.639 0.861 0.000 Bi
0.861 0.361 0.000 Bi
```

=====

Short version: arrangement A is the most stable of them.

=====

Arrangement A

Material: YSi2Bi2
Method: DFT, GGA-PBE
State: relaxed

Calculated values
As for the total magnetic moment: 0.000 μB per cell. As for the space group: I4/mmm (139). Its crystal system is tetragonal.

POSCAR file:
```
YSi2Bi2
1.0
4.401 0.000 0.000
0.000 4.401 0.000
0.000 0.000 13.710
Y Si Bi
2 4 4
direct
0.000 0.000 0.000 Y
0.500 0.500 0.500 Y
0.000 0.000 0.418 Si
0.000 0.000 0.582 Si
0.500 0.500 0.082 Si
0.500 0.500 0.918 Si
0.000 0.500 0.250 Bi
0.000 0.500 0.750 Bi
0.500 0.000 0.250 Bi
0.500 0.000 0.750 Bi
```

=====

Arrangement B

Material: YSi2Bi2
Method: DFT, GGA-PBE
State: relaxed

Calculated values
As for the total magnetic moment: 0.000 μB per cell. As for the space group: I4/mmm (139). Its crystal system is tetragonal.

POSCAR file:
```
YSi2Bi2
1.0
3.531 0.000 0.000
0.000 3.531 0.000
0.000 0.000 20.261
Y Si Bi
2 4 4
direct
0.000 0.000 0.000 Y
0.500 0.500 0.500 Y
0.000 0.500 0.250 Si
0.000 0.500 0.750 Si
0.500 0.000 0.250 Si
0.500 0.000 0.750 Si
0.000 0.000 0.387 Bi
0.000 0.000 0.613 Bi
0.500 0.500 0.113 Bi
0.500 0.500 0.887 Bi
```

=====

Short version: arrangement B is the most stable of them.

=====

Arrangement A

Material: Zr2Si2Bi
Method: DFT, GGA-PBE
State: relaxed

Calculated values
As for the total magnetic moment: 0.000 μB per cell. As for the space group: I4/mmm (139). Its crystal system is tetragonal.

POSCAR file:
```
Zr2Si2Bi
1.0
3.677 0.000 0.000
0.000 3.677 0.000
0.000 0.000 15.219
Zr Si Bi
4 4 2
direct
0.000 0.000 0.113 Zr
0.000 0.000 0.887 Zr
0.500 0.500 0.387 Zr
0.500 0.500 0.613 Zr
0.000 0.500 0.250 Si
0.000 0.500 0.750 Si
0.500 0.000 0.250 Si
0.500 0.000 0.750 Si
0.000 0.000 0.500 Bi
0.500 0.500 0.000 Bi
```

=====

Arrangement B

Material: Zr2Si2Bi
Method: DFT, GGA-PBE
State: relaxed

Calculated values
As for the total magnetic moment: 0.000 μB per cell. As for the space group: P4/mbm (127). Its crystal system is tetragonal.

POSCAR file:
```
Zr2Si2Bi
1.0
7.353 0.000 0.000
0.000 7.353 0.000
0.000 0.000 3.723
Zr Si Bi
4 4 2
direct
0.177 0.323 0.000 Zr
0.323 0.823 0.000 Zr
0.677 0.177 0.000 Zr
0.823 0.677 0.000 Zr
0.115 0.615 0.500 Si
0.385 0.115 0.500 Si
0.615 0.885 0.500 Si
0.885 0.385 0.500 Si
0.000 0.000 0.500 Bi
0.500 0.500 0.500 Bi
```

=====

Short version: arrangement A is the most stable of them.

=====

Arrangement A

Material: ZrSiBi3
Method: DFT, GGA-PBE
State: relaxed

Calculated values
As for the total magnetic moment: 0.000 μB per cell. As for the space group: Pm-3m (221). Its crystal system is cubic.

POSCAR file:
```
ZrSiBi3
1.0
5.339 0.000 0.000
0.000 5.339 0.000
0.000 0.000 5.339
Zr Si Bi
1 1 3
direct
0.000 0.000 0.000 Zr
0.500 0.500 0.500 Si
0.000 0.500 0.500 Bi
0.500 0.000 0.500 Bi
0.500 0.500 0.000 Bi
```

=====

Arrangement B

Material: ZrSiBi3
Method: DFT, GGA-PBE
State: relaxed

Calculated values
As for the total magnetic moment: 0.000 μB per cell. As for the space group: Pm-3m (221). Its crystal system is cubic.

POSCAR file:
```
ZrSiBi3
1.0
5.650 0.000 0.000
0.000 5.650 0.000
0.000 0.000 5.650
Zr Si Bi
1 1 3
direct
0.000 0.000 0.000 Zr
0.500 0.500 0.500 Si
0.000 0.000 0.500 Bi
0.000 0.500 0.000 Bi
0.500 0.000 0.000 Bi
```

=====

Short version: arrangement B is the most stable of them.

=====

Arrangement A

Material: Sm3Bi
Method: DFT, GGA-PBE
State: relaxed

Calculated values
As for the total magnetic moment: 0.000 μB per cell. As for the space group: Imm2 (44). Its crystal system is orthorhombic.

POSCAR file:
```
Sm3Bi
1.0
4.083 0.000 0.000
0.000 11.241 0.000
0.000 0.000 5.558
Sm Bi
6 2
direct
0.000 0.000 0.000 Sm
0.000 0.224 0.593 Sm
0.000 0.776 0.593 Sm
0.500 0.276 0.093 Sm
0.500 0.500 0.500 Sm
0.500 0.724 0.093 Sm
0.000 0.500 0.975 Bi
0.500 0.000 0.475 Bi
```

=====

Arrangement B

Material: Sm3Bi
Method: DFT, GGA-PBE
State: relaxed

Calculated values
As for the total magnetic moment: 0.006 μB per cell. As for the space group: P2_1/m (11). Its crystal system is monoclinic.

POSCAR file:
```
Sm3Bi
1.0
6.658 0.000 0.000
0.000 4.159 0.000
-1.670 0.000 9.618
Sm Bi
6 2
direct
0.086 0.250 0.357 Sm
0.272 0.750 0.092 Sm
0.403 0.750 0.625 Sm
0.597 0.250 0.375 Sm
0.728 0.250 0.908 Sm
0.914 0.750 0.643 Sm
0.216 0.250 0.841 Bi
0.784 0.750 0.159 Bi
```

=====

Short version: arrangement B is the most stable of them.